# La2AgSb | Alexandria | PBE | relaxed
data_La2AgSb
_cell_length_a 7.6301
_cell_length_b 7.6301
_cell_length_c 7.6301
_cell_angle_alpha 90.00
_cell_angle_beta 90.00
_cell_angle_gamma 90.00
_symmetry_space_group_name_H-M 'F -4 3 m'
_symmetry_Int_Tables_number 216
_symmetry_space_group_name_Hall 'F -4 2 3'
loop_
_atom_site_label
_atom_site_fract_x
_atom_site_fract_y
_atom_site_fract_z
La1 0.0000 0.0000 0.0000
La2 0.2500 0.2500 0.2500
Ag1 0.0000 0.0000 0.5000
Sb1 0.2500 0.2500 0.7500
# Calculated total energy ... -0.3211 Ry per atom

=====

# La2AgSb | Alexandria | PBE | relaxed
data_La2AgSb
_cell_length_a 4.5289
_cell_length_b 4.5289
_cell_length_c 22.7553
_cell_angle_alpha 90.00
_cell_angle_beta 90.00
_cell_angle_gamma 120.00
_symmetry_space_group_name_H-M 'R -3 m'
_symmetry_Int_Tables_number 166
_symmetry_space_group_name_Hall '-R 3 2"'
loop_
_atom_site_label
_atom_site_fract_x
_atom_site_fract_y
_atom_site_fract_z
La1 0.0000 0.0000 0.2487
Ag1 0.0000 0.0000 0.0000
Sb1 0.0000 0.0000 0.5000
# Calculated total energy ... -0.3552 Ry per atom

=====

# La2AgSb3 | Alexandria | PBE | relaxed
data_La2AgSb3
_cell_length_a 3.1633
_cell_length_b 3.1633
_cell_length_c 18.7398
_cell_angle_alpha 90.00
_cell_angle_beta 90.00
_cell_angle_gamma 90.00
_symmetry_space_group_name_H-M 'P 4/m m m'
_symmetry_Int_Tables_number 123
_symmetry_space_group_name_Hall '-P 4 2'
loop_
_atom_site_label
_atom_site_fract_x
_atom_site_fract_y
_atom_site_fract_z
La1 0.0000 0.0000 0.1653
Ag1 0.0000 0.0000 0.0000
Sb1 0.0000 0.0000 0.3376
Sb2 0.0000 0.0000 0.5000
# Calculated total energy ... -0.2858 Ry per atom

=====

# LaAgSb2 | Alexandria | PBE | relaxed
data_LaAgSb2
_cell_length_a 4.1964
_cell_length_b 4.1964
_cell_length_c 6.4056
_cell_angle_alpha 90.00
_cell_angle_beta 90.00
_cell_angle_gamma 90.00
_symmetry_space_group_name_H-M 'P 4 m m'
_symmetry_Int_Tables_number 99
loop_
_symmetry_equiv_pos_as_xyz
'x,y,z'
'-y,x,z'
'-x,-y,z'
'y,-x,z'
'-x,y,z'
'y,x,z'
'x,-y,z'
'-y,-x,z'
loop_
_atom_site_label
_atom_site_fract_x
_atom_site_fract_y
_atom_site_fract_z
La1 0.0000 0.0000 0.0000
Ag1 0.5000 0.5000 0.6639
Sb1 0.0000 0.0000 0.5090
Sb2 0.5000 0.5000 0.1856
# Calculated total energy ... -0.3238 Ry per atom
# Offset from the most stable computed form ... 345 meV per atom

=====

# LaAgSb2 | Alexandria | PBE | relaxed
data_LaAgSb2
_cell_length_a 3.4430
_cell_length_b 3.4430
_cell_length_c 9.4140
_cell_angle_alpha 90.00
_cell_angle_beta 90.00
_cell_angle_gamma 90.00
_symmetry_space_group_name_H-M 'P 4 m m'
_symmetry_Int_Tables_number 99
loop_
_symmetry_equiv_pos_as_xyz
'x,y,z'
'-y,x,z'
'-x,-y,z'
'y,-x,z'
'-x,y,z'
'y,x,z'
'x,-y,z'
'-y,-x,z'
loop_
_atom_site_label
_atom_site_fract_x
_atom_site_fract_y
_atom_site_fract_z
La1 0.0000 0.0000 0.0000
Ag1 0.5000 0.5000 0.7608
Sb1 0.0000 0.0000 0.5786
Sb2 0.5000 0.5000 0.2481
# Calculated total energy ... -0.3068 Ry per atom
# Offset from the most stable computed form ... 576 meV per atom

=====

# La2Ag2Sb | Alexandria | PBE | relaxed
data_La2Ag2Sb
_cell_length_a 8.7019
_cell_length_b 8.7019
_cell_length_c 3.9540
_cell_angle_alpha 90.00
_cell_angle_beta 90.00
_cell_angle_gamma 90.00
_symmetry_space_group_name_H-M 'P 4/m b m'
_symmetry_Int_Tables_number 127
_symmetry_space_group_name_Hall '-P 4 2ab'
loop_
_atom_site_label
_atom_site_fract_x
_atom_site_fract_y
_atom_site_fract_z
La1 0.1755 0.3245 0.0000
Ag1 0.1181 0.6181 0.5000
Sb1 0.0000 0.0000 0.0000
# Calculated total energy ... -0.3135 Ry per atom
# Offset from the most stable computed form ... 194 meV per atom

=====

# LaAgSb2 | Alexandria | PBE | relaxed
data_LaAgSb2
_cell_length_a 7.5780
_cell_length_b 7.5780
_cell_length_c 7.5780
_cell_angle_alpha 90.00
_cell_angle_beta 90.00
_cell_angle_gamma 90.00
_symmetry_space_group_name_H-M 'F -4 3 m'
_symmetry_Int_Tables_number 216
_symmetry_space_group_name_Hall 'F -4 2 3'
loop_
_atom_site_label
_atom_site_fract_x
_atom_site_fract_y
_atom_site_fract_z
La1 0.0000 0.0000 0.0000
Ag1 0.2500 0.2500 0.2500
Sb1 0.0000 0.0000 0.5000
Sb2 0.2500 0.2500 0.7500
# Calculated total energy ... -0.3177 Ry per atom
# Offset from the most stable computed form ... 427 meV per atom

=====

# La5Ag2Sb | Alexandria | PBE | relaxed
data_La5Ag2Sb
_cell_length_a 8.5832
_cell_length_b 8.5832
_cell_length_c 13.4809
_cell_angle_alpha 90.00
_cell_angle_beta 90.00
_cell_angle_gamma 90.00
_symmetry_space_group_name_H-M 'I 4/m c m'
_symmetry_Int_Tables_number 140
_symmetry_space_group_name_Hall '-I 4 2c'
loop_
_atom_site_label
_atom_site_fract_x
_atom_site_fract_y
_atom_site_fract_z
La1 0.0000 0.0000 0.0000
La2 0.1584 0.3416 0.1496
Ag1 0.1306 0.3694 0.5000
Sb1 0.0000 0.0000 0.2500
# Calculated total energy ... -0.3483 Ry per atom

=====

What did the eighth record say?
# La5Ag2Sb | Alexandria | PBE | relaxed
data_La5Ag2Sb
_cell_length_a 8.5832
_cell_length_b 8.5832
_cell_length_c 13.4809
_cell_angle_alpha 90.00
_cell_angle_beta 90.00
_cell_angle_gamma 90.00
_symmetry_space_group_name_H-M 'I 4/m c m'
_symmetry_Int_Tables_number 140
_symmetry_space_group_name_Hall '-I 4 2c'
loop_
_atom_site_label
_atom_site_fract_x
_atom_site_fract_y
_atom_site_fract_z
La1 0.0000 0.0000 0.0000
La2 0.1584 0.3416 0.1496
Ag1 0.1306 0.3694 0.5000
Sb1 0.0000 0.0000 0.2500
# Calculated total energy ... -0.3483 Ry per atom

=====

Question: Which value of calculated total energy does entry 7 give?
Answer: -0.3177 Ry per atom

=====

Question: What is the formula in the sixth record?
Answer: La2Ag2Sb

=====

Question: Which value of calculated total energy does entry 8 give?
Answer: -0.3483 Ry per atom